Entry from Alexandria: a relaxed structure of BaAc2Zn3 (PBE).

Theoretical density in g/cm3: 6.94
Uncorrected energy in eV/atom: -2.5467

The structure in CIF format:
```
data_BaAc2Zn3
_chemical_formula_sum 'Ba1 Ac2 Zn3'
_symmetry_space_group_name_H-M 'P 1'
_symmetry_Int_Tables_number 1
_cell_length_a 3.9651
_cell_length_b 3.9651
_cell_length_c 11.9796
_cell_angle_alpha 90.00
_cell_angle_beta 90.00
_cell_angle_gamma 90.00
loop_
_symmetry_equiv_pos_as_xyz
'x,y,z'
loop_
_atom_site_label
_atom_site_fract_x
_atom_site_fract_y
_atom_site_fract_z
Ba1 0.5000 0.5000 0.5000
Ac1 0.5000 0.5000 0.8399
Ac2 0.5000 0.5000 0.1601
Zn1 0.0000 0.0000 0.0000
Zn2 0.0000 0.0000 0.6857
Zn3 0.0000 0.0000 0.3143
```